No. 1
A relaxed Li3Ag3Sn2 crystal, computed with GGA-PBE.

Cell: 4.6958 4.6958 22.9568 Å, 90.00 90.00 120.00°
Space group R3m (No. 160, hexagonal axes)
Unique sites:
Li1 0.0000 0.0000 0.0000 (multiplicity 3)
Li2 0.0000 0.0000 0.1246 (multiplicity 3)
Li3 0.0000 0.0000 0.5011 (multiplicity 3)
Ag1 0.0000 0.0000 0.3785 (multiplicity 3)
Ag2 0.0000 0.0000 0.6251 (multiplicity 3)
Ag3 0.0000 0.0000 0.8738 (multiplicity 3)
Sn1 0.0000 0.0000 0.2502 (multiplicity 3)
Sn2 0.0000 0.0000 0.7506 (multiplicity 3)

Values from the calculation:
* energy relative to the lowest polymorph listed for this composition: 0.0 meV/atom
* formation enthalpy at 0 K: -290 meV/atom


No. 2
A relaxed KPb crystal, computed with GGA-PBE.

Cell: 5.4444 3.9310 6.7523 Å, 90.00 90.00 90.00°
Space group Pmma (No. 51)
Unique sites:
K1 0.2500 0.0000 0.1740 (multiplicity 2)
Pb1 0.2500 0.5000 0.6391 (multiplicity 2)

Values from the calculation:
* energy relative to the lowest polymorph listed for this composition: 122.1 meV/atom
* formation enthalpy at 0 K: -119 meV/atom


No. 3
A relaxed Ca4TbCd2 crystal, computed with GGA-PBE.

Cell: 5.6965 5.6965 23.9718 Å, 90.00 90.00 120.00°
Space group R-3m (No. 166, hexagonal axes)
Unique sites:
Ca1 0.0000 0.0000 0.0715 (multiplicity 6)
Ca2 0.0000 0.0000 0.2275 (multiplicity 6)
Tb1 0.0000 0.0000 0.5000 (multiplicity 3)
Cd1 0.0000 0.0000 0.3678 (multiplicity 6)

Values from the calculation:
* formation enthalpy at 0 K: -54 meV/atom


No. 4
A relaxed LiAcSmSn crystal, computed with GGA-PBE.

Cell: 7.8332 7.8332 7.8332 Å, 90.00 90.00 90.00°
Space group F-43m (No. 216)
Unique sites:
Li1 0.0000 0.0000 0.0000 (multiplicity 4)
Ac1 0.2500 0.2500 0.7500 (multiplicity 4)
Sm1 0.2500 0.2500 0.2500 (multiplicity 4)
Sn1 0.0000 0.0000 0.5000 (multiplicity 4)

Values from the calculation:
* formation enthalpy at 0 K: -366 meV/atom


No. 5
A relaxed BaTe2IrI crystal, computed with GGA-PBE.

Cell: 6.8311 6.8311 6.6063 Å, 90.00 90.00 90.00°
Space group P4/mmm (No. 123)
Unique sites:
Ba1 0.0000 0.0000 0.0000 (multiplicity 1)
Te1 0.0000 0.5000 0.0000 (multiplicity 2)
Ir1 0.5000 0.5000 0.5000 (multiplicity 1)
I1 0.0000 0.0000 0.5000 (multiplicity 1)

Values from the calculation:
* E_form (uncorrected): 1.128 eV per atom
* energy relative to the lowest polymorph listed for this composition: 1600.3 meV/atom


No. 6
A relaxed TaAsRh2 crystal, computed with GGA-PBE.

Cell: 3.1172 4.4967 8.7972 Å, 90.00 90.00 90.00°
Space group Imm2 (No. 44)
Unique sites:
Ta1 0.0000 0.0000 0.0000 (multiplicity 2)
As1 0.0000 0.5000 0.7420 (multiplicity 2)
Rh1 0.0000 0.0000 0.4508 (multiplicity 2)
Rh2 0.0000 0.5000 0.2334 (multiplicity 2)

Values from the calculation:
* formation enthalpy at 0 K: -407 meV/atom


No. 7
A relaxed YEr2Th3Bi6 crystal, computed with GGA-PBE.

Cell: 19.7318 4.5362 9.0293 Å, 90.00 103.02 90.00°
Space group C2/m (No. 12)
Unique sites:
Y1 0.0000 0.0000 0.0000 (multiplicity 2)
Er1 0.1668 0.5000 0.3332 (multiplicity 4)
Th1 0.0000 0.0000 0.5000 (multiplicity 2)
Th2 0.1657 0.5000 0.8329 (multiplicity 4)
Bi1 0.0032 0.5000 0.2454 (multiplicity 4)
Bi2 0.1652 0.0000 0.0906 (multiplicity 4)
Bi3 0.1693 0.0000 0.5765 (multiplicity 4)

Values from the calculation:
* formation enthalpy at 0 K: -699 meV/atom


No. 8
A relaxed RbTaAsBr2 crystal, computed with GGA-PBE.

Cell: 5.3786 5.3786 5.0179 Å, 90.00 90.00 90.00°
Space group P4/mmm (No. 123)
Unique sites:
Rb1 0.0000 0.0000 0.0000 (multiplicity 1)
Ta1 0.5000 0.5000 0.5000 (multiplicity 1)
As1 0.5000 0.5000 0.0000 (multiplicity 1)
Br1 0.0000 0.5000 0.5000 (multiplicity 2)

Values from the calculation:
* E_form (uncorrected): -0.524 eV per atom
* energy relative to the lowest polymorph listed for this composition: 0.0 meV/atom


no.,DFT total energy (Ry/atom)
1,-0.22622
2,-0.18537
3,-0.15590
4,-0.29783
5,-0.19077
6,-0.60329
7,-0.42582
8,-0.34451